Computed, not measured: a relaxed Ti3HgH crystal at the PBE level of DFT.

Unit cell a=5.124 b=5.124 c=5.124 alpha=90.00 beta=90.00 gamma=90.00
Sites, in units of the cell vectors:
Ti 0.000 0.000 0.500
Ti 0.000 0.500 0.000
Ti 0.500 0.000 0.000
Hg 0.000 0.000 0.000
H 0.500 0.500 0.500

Calculated values
The calculation puts the spin magnetization at 5.1 μB/cell. The value obtained for the electronic total energy is -3.82 eV/atom. The value obtained for the density of states at the Fermi level is 6.219 states/eV/cell.